Entry 1:
Here is crystalline Ce3DyY4S8 at its relaxed geometry from Alexandria. Energies are from PBE-GGA.

Output
Its space group is No. 166. As for the crystal system: trigonal. As for the total magnetization: 1.88 μB per cell. The value obtained for the calculated density is 5.667 g/cm3. As for the final energy: -0.52199 Ry/atom.

Unit cell a=7.895 b=7.927 c=7.895 alpha=119.86 beta=120.00 gamma=90.00
Each line ends with the local moment (μB).
Element x y z (fractional)
S  0.243  0.244  0.993  -0.01
S  0.750  0.244  0.993  -0.01
S  0.250  0.756  0.007  -0.01
S  0.753  0.760  0.507  -0.01
S  0.750  0.244  0.501  -0.01
S  0.250  0.756  0.499  -0.01
S  0.757  0.756  0.007  -0.01
S  0.247  0.240  0.493  -0.01
Y  0.000  0.000  0.500  -0.01
Y  0.500  0.000  0.000  0.01
Y  0.500  0.000  0.500  -0.01
Y  0.000  0.000  0.000  -0.01
Ce  0.000  0.500  0.500  0.52
Ce  0.500  0.500  0.000  0.52
Ce  0.500  0.500  0.500  0.52
Dy  0.000  0.500  0.000  0.02



Entry 2:
Here is crystalline CeDy2Y3S6 at its relaxed geometry from Alexandria. Energies are from PBE-GGA.

Output
Its space group is No. 12. As for the crystal system: monoclinic. As for the total magnetization: 0.86 μB per cell. The value obtained for the calculated density is 5.950 g/cm3. As for the final energy: -0.51067 Ry/atom.

Unit cell a=3.920 b=7.893 c=8.787 alpha=102.92 beta=102.89 gamma=90.00
Each line ends with the local moment (μB).
Element x y z (fractional)
S  0.001  0.258  0.001  -0.01
S  0.332  0.418  0.664  0.00
S  0.668  0.582  0.336  0.00
S  0.670  0.086  0.340  0.00
S  0.330  0.914  0.660  0.00
S  0.999  0.742  0.999  -0.01
Dy  0.835  0.671  0.670  0.01
Dy  0.165  0.329  0.330  0.01
Y  0.500  0.500  0.000  0.01
Y  0.835  0.165  0.670  0.01
Y  0.165  0.835  0.330  0.01
Ce  0.500  0.000  0.000  0.62



Entry 3:
Here is crystalline CeDy4Y3S8 at its relaxed geometry from Alexandria. Energies are from PBE-GGA.

Output
Its space group is No. 166. As for the crystal system: trigonal. As for the total magnetization: 0.01 μB per cell. The value obtained for the calculated density is 6.379 g/cm3. As for the final energy: -0.49979 Ry/atom.

Unit cell a=7.849 b=7.848 c=7.849 alpha=120.01 beta=120.00 gamma=90.00
Element x y z (fractional)
Y  0.500  0.500  0.000
Y  0.000  0.500  0.500
Y  0.500  0.500  0.500
Dy  0.500  0.000  0.500
Dy  0.500  0.000  0.000
Dy  0.000  0.000  0.000
Dy  0.000  0.000  0.500
S  0.748  0.754  0.001
S  0.253  0.754  0.001
S  0.747  0.246  0.494
S  0.747  0.246  0.999
S  0.750  0.751  0.501
S  0.253  0.754  0.506
S  0.252  0.246  0.999
S  0.250  0.249  0.499
Ce  0.000  0.500  0.000



Copy entry 3 word for word.
Here is crystalline CeDy4Y3S8 at its relaxed geometry from Alexandria. Energies are from PBE-GGA.

Output
Its space group is No. 166. As for the crystal system: trigonal. As for the total magnetization: 0.01 μB per cell. The value obtained for the calculated density is 6.379 g/cm3. As for the final energy: -0.49979 Ry/atom.

Unit cell a=7.849 b=7.848 c=7.849 alpha=120.01 beta=120.00 gamma=90.00
Element x y z (fractional)
Y  0.500  0.500  0.000
Y  0.000  0.500  0.500
Y  0.500  0.500  0.500
Dy  0.500  0.000  0.500
Dy  0.500  0.000  0.000
Dy  0.000  0.000  0.000
Dy  0.000  0.000  0.500
S  0.748  0.754  0.001
S  0.253  0.754  0.001
S  0.747  0.246  0.494
S  0.747  0.246  0.999
S  0.750  0.751  0.501
S  0.253  0.754  0.506
S  0.252  0.246  0.999
S  0.250  0.249  0.499
Ce  0.000  0.500  0.000